Entry 1:
First-principles (PBE-GGA) data for an optimized crystal structure of Ac5PrY2, as listed in Alexandria.

## Properties
Raw total energy (eV per atom): -4.752
ΔH_f (0 K) (meV per atom): 30

a = 7.6809 Å, b = 15.3570 Å, c = 5.4686 Å
α = 90.00°, β = 90.00°, γ = 90.00°
With the nearest neighbours (Å) after each atom.
Space group Pbam (No. 55)
One atom of each set of equivalent atoms:
1 Ac 0.0000 0.0000 0.0000  4 Y 3.84, 2 Pr 3.84, 6 Ac 3.86-3.88
2 Ac 0.0061 0.2523 0.0000  1 Pr 3.80, 4 Y 3.83-3.89, 7 Ac 3.84-3.89
3 Ac 0.2439 0.6226 0.5000  4 Y 3.79-3.89, 2 Pr 3.81, 6 Ac 3.85-3.89
4 Pr 0.0000 0.5000 0.0000  8 Ac 3.80-3.84, 4 Y 3.86
5 Y 0.2468 0.8757 0.5000  10 Ac 3.79-3.89, 2 Pr 3.86

=====

Entry 2:
First-principles (PBE-GGA) data for an optimized crystal structure of Ac2Pr8Y3, as listed in Alexandria.

## Properties
Polymorph energy (0 for the lowest one) (meV/atom): 18
Raw total energy (eV per atom): -4.875
ΔH_f (0 K) (meV per atom): 190

a = 5.7473 Å, b = 7.8530 Å, c = 11.6476 Å
α = 70.31°, β = 89.99°, γ = 90.00°
With the nearest neighbours (Å) after each atom.
Space group P-1 (No. 2)
One atom of each set of equivalent atoms:
1 Ac 0.9996 0.2392 0.0211  8 Pr 3.64-3.86, 2 Ac 3.95-3.96
2 Pr 0.9999 0.1934 0.7017  1 Y 3.20, 3 Pr 3.23-3.54
3 Pr 0.0001 0.3952 0.2981  1 Y 3.20, 3 Pr 3.23-3.53
4 Pr 0.4999 0.1230 0.2542  2 Y 3.51, 4 Pr 3.72, 2 Ac 3.84-3.85
5 Pr 0.4998 0.3412 0.8179  4 Pr 3.53-3.54, 2 Ac 3.64, 2 Y 3.87
6 Y 0.0000 0.0000 0.5000  4 Pr 3.20
7 Y 0.5000 0.2864 0.5000  3 Y 3.35-3.65, 6 Pr 3.51-3.63

=====

Entry 3:
First-principles (PBE-GGA) data for an optimized crystal structure of Ac4PrY3, as listed in Alexandria.

## Properties
Raw total energy (eV per atom): -5.029
ΔH_f (0 K) (meV per atom): 47

a = 5.4285 Å, b = 10.8419 Å, c = 10.5790 Å
α = 90.00°, β = 90.00°, γ = 90.00°
With the nearest neighbours (Å) after each atom.
Space group Pmmn (No. 59, origin choice 2)
One atom of each set of equivalent atoms:
1 Ac 0.2500 0.0000 0.1361  3 Y 3.79-3.81, 1 Pr 3.82, 8 Ac 3.84-3.97
2 Ac 0.2500 0.2500 0.8626  4 Y 3.79-3.81, 8 Ac 3.84-3.97
3 Ac 0.2500 0.7500 0.8630  2 Y 3.79, 2 Pr 3.81, 8 Ac 3.84-3.97
4 Pr 0.2500 0.2500 0.3901  8 Y 3.59-3.83, 4 Ac 3.81-3.82
5 Y 0.2500 0.5011 0.6110  3 Pr 3.59-3.83, 5 Y 3.59-3.84, 4 Ac 3.79-3.81
6 Y 0.2500 0.7500 0.3872  6 Y 3.59-3.84, 2 Pr 3.59, 4 Ac 3.79

=====

Entry 4:
First-principles (PBE-GGA) data for an optimized crystal structure of Ac5Pr2Y, as listed in Alexandria.

## Properties
Raw total energy (eV per atom): -4.541
ΔH_f (0 K) (meV per atom): 30

a = 7.6763 Å, b = 15.4141 Å, c = 5.5432 Å
α = 90.00°, β = 90.00°, γ = 90.00°
With the nearest neighbours (Å) after each atom.
Space group Pbam (No. 55)
One atom of each set of equivalent atoms:
1 Ac 0.0000 0.0000 0.0000  2 Y 3.84, 4 Pr 3.85, 6 Ac 3.89-3.91
2 Ac 0.0101 0.2539 0.0000  1 Y 3.79, 7 Ac 3.84-3.94, 4 Pr 3.85-3.94
3 Ac 0.2409 0.6213 0.5000  4 Pr 3.78-3.93, 2 Y 3.82, 6 Ac 3.89-3.94
4 Pr 0.2443 0.8763 0.5000  10 Ac 3.78-3.94, 2 Y 3.90
5 Y 0.0000 0.5000 0.0000  8 Ac 3.79-3.84, 4 Pr 3.90

=====

Entry 5:
First-principles (PBE-GGA) data for an optimized crystal structure of Ac6Pr5Y, as listed in Alexandria.

## Properties
Raw total energy (eV per atom): -4.561
ΔH_f (0 K) (meV per atom): 23

a = 5.5073 Å, b = 10.6133 Å, c = 16.4286 Å
α = 90.00°, β = 90.00°, γ = 90.00°
With the nearest neighbours (Å) after each atom.
Space group Immm (No. 71)
One atom of each set of equivalent atoms:
1 Ac 0.0000 0.2484 0.0000  6 Pr 3.80-3.84, 2 Y 3.81, 4 Ac 3.87
2 Ac 0.0000 0.2512 0.3342  1 Y 3.79, 7 Pr 3.81-3.84, 4 Ac 3.87-3.90
3 Pr 0.0000 0.0000 0.1663  8 Ac 3.80-3.84, 2 Y 3.88, 2 Pr 3.89
4 Pr 0.0000 0.0000 0.5000  8 Ac 3.81-3.84, 4 Pr 3.88
5 Pr 0.0000 0.5000 0.1668  8 Ac 3.81-3.83, 4 Pr 3.88-3.89
6 Y 0.0000 0.5000 0.5000  8 Ac 3.79-3.81, 4 Pr 3.88

=====

Entry 6:
First-principles (PBE-GGA) data for an optimized crystal structure of Ac8PrY4, as listed in Alexandria.

## Properties
Raw total energy (eV per atom): -4.483
ΔH_f (0 K) (meV per atom): 402

a = 11.8375 Å, b = 11.8375 Å, c = 14.4752 Å
α = 90.00°, β = 90.00°, γ = 120.00°
With the nearest neighbours (Å) after each atom.
Space group R-3m (No. 166, hexagonal axes)
One atom of each set of equivalent atoms:
1 Ac 0.0000 0.0000 0.2408  4 Y 3.49-3.67, 1 Pr 3.75
2 Ac 0.0119 0.5060 0.7468  4 Y 3.49-3.67, 1 Pr 3.75
3 Pr 0.0000 0.0000 0.5000  8 Ac 3.75, 6 Y 4.18
4 Y 0.0000 0.0000 0.0000  8 Ac 3.49
5 Y 0.0000 0.5000 0.0000  8 Ac 3.67

=====

Entry 7:
First-principles (PBE-GGA) data for an optimized crystal structure of Ac2Pr2Y5, as listed in Alexandria.

## Properties
Raw total energy (eV per atom): -5.345
ΔH_f (0 K) (meV per atom): 221

a = 22.3706 Å, b = 3.6482 Å, c = 8.4252 Å
α = 90.00°, β = 98.68°, γ = 90.00°
With the nearest neighbours (Å) after each atom.
Space group C2/m (No. 12)
One atom of each set of equivalent atoms:
1 Ac 0.1824 0.0000 0.1353  2 Ac 3.65, 5 Y 3.69-4.07
2 Pr 0.0482 0.5000 0.3512  7 Y 3.31-3.65, 3 Pr 3.55-3.65
3 Y 0.0000 0.0000 0.0000  4 Y 3.35-3.65, 4 Pr 3.50
4 Y 0.0935 0.0000 0.7245  5 Y 3.35-3.65, 4 Pr 3.63-3.65, 1 Ac 3.72
5 Y 0.1902 0.5000 0.5306  1 Pr 3.31, 6 Y 3.34-3.65, 1 Ac 3.69

=====

Entry 8:
First-principles (PBE-GGA) data for an optimized crystal structure of Ac12Pr7Y, as listed in Alexandria.

## Properties
Polymorph energy (0 for the lowest one) (meV/atom): 431
Raw total energy (eV per atom): -3.850
ΔH_f (0 K) (meV per atom): 611

a = 12.2713 Å, b = 12.2713 Å, c = 12.2713 Å
α = 90.00°, β = 90.00°, γ = 90.00°
With the nearest neighbours (Å) after each atom.
Space group Im-3 (No. 204)
One atom of each set of equivalent atoms:
1 Ac 0.0000 0.2842 0.2103  2 Pr 3.13
2 Pr 0.0000 0.0000 0.5000  4 Ac 3.70
3 Pr 0.2500 0.2500 0.2500  6 Ac 3.13
4 Y 0.0000 0.0000 0.0000  12 Ac 4.34

=====

Entry 9:
First-principles (PBE-GGA) data for an optimized crystal structure of Ac9PrY2, as listed in Alexandria.

## Properties
Raw total energy (eV per atom): -4.532
ΔH_f (0 K) (meV per atom): 25

a = 5.5104 Å, b = 5.5104 Å, c = 16.5526 Å
α = 90.00°, β = 90.00°, γ = 90.00°
With the nearest neighbours (Å) after each atom.
Space group P4/mmm (No. 123)
One atom of each set of equivalent atoms:
1 Ac 0.0000 0.0000 0.0000  4 Pr 3.90, 8 Ac 3.92
2 Ac 0.0000 0.0000 0.3342  8 Ac 3.89, 4 Y 3.90
3 Ac 0.0000 0.5000 0.1683  8 Ac 3.89-3.92, 2 Y 3.89, 2 Pr 3.92
4 Ac 0.0000 0.5000 0.5000  4 Y 3.89, 8 Ac 3.89-3.90
5 Pr 0.5000 0.5000 0.0000  12 Ac 3.90-3.92
6 Y 0.5000 0.5000 0.3344  12 Ac 3.89-3.90

=====

Entry 10:
First-principles (PBE-GGA) data for an optimized crystal structure of Ac2Pr8Y3, as listed in Alexandria.

## Properties
Polymorph energy (0 for the lowest one) (meV/atom): 0
Raw total energy (eV per atom): -4.894
ΔH_f (0 K) (meV per atom): 171

a = 13.5595 Å, b = 12.1482 Å, c = 6.3483 Å
α = 90.00°, β = 113.31°, γ = 90.00°
With the nearest neighbours (Å) after each atom.
Space group C2/m (No. 12)
One atom of each set of equivalent atoms:
1 Ac 0.1967 0.0000 0.3375  6 Pr 3.38-3.61
2 Pr 0.0786 0.0000 0.7576  3 Pr 3.12-3.39, 1 Ac 3.38
3 Pr 0.1416 0.5000 0.0685  3 Y 3.35-3.61, 2 Pr 3.51-3.59, 1 Ac 3.53
4 Pr 0.1624 0.2510 0.6645  2 Pr 3.39-3.73, 1 Ac 3.58, 2 Y 3.62-3.64
5 Y 0.0000 0.2422 0.0000  8 Pr 3.61-3.91, 2 Ac 3.98
6 Y 0.0000 0.5000 0.5000  6 Pr 3.35-3.64

=====

Entry 11:
First-principles (PBE-GGA) data for an optimized crystal structure of Ac2Pr3Y, as listed in Alexandria.

## Properties
Polymorph energy (0 for the lowest one) (meV/atom): 2
Raw total energy (eV per atom): -4.746
ΔH_f (0 K) (meV per atom): 91

a = 17.3228 Å, b = 6.1357 Å, c = 10.0865 Å
α = 90.00°, β = 120.45°, γ = 90.00°
With the nearest neighbours (Å) after each atom.
Space group C2/m (No. 12)
One atom of each set of equivalent atoms:
1 Ac 0.0409 0.0000 0.2117  4 Ac 3.76-4.09, 4 Y 3.85-4.11, 6 Pr 3.86-4.01
2 Ac 0.1883 0.5000 0.4959  6 Pr 3.64-3.95, 2 Ac 3.72, 1 Y 3.80
3 Pr 0.0546 0.5000 0.6870  4 Pr 3.25-3.50, 1 Y 3.46, 1 Ac 3.64
4 Pr 0.1433 0.0000 0.6599  3 Pr 3.50-3.64, 1 Y 3.68, 2 Ac 3.75
5 Pr 0.2170 0.0000 0.0685  4 Pr 3.44-3.77, 3 Y 3.56-3.84, 1 Ac 3.83
6 Y 0.1132 0.5000 0.0701  1 Y 3.43, 4 Pr 3.46-3.68, 1 Ac 3.80

=====

Entry 12:
First-principles (PBE-GGA) data for an optimized crystal structure of Ac8Pr2Y, as listed in Alexandria.

## Properties
Polymorph energy (0 for the lowest one) (meV/atom): 0
Raw total energy (eV per atom): -4.414
ΔH_f (0 K) (meV per atom): 31

a = 19.8069 Å, b = 5.5693 Å, c = 8.7270 Å
α = 90.00°, β = 105.37°, γ = 90.00°
With the nearest neighbours (Å) after each atom.
Space group C2/m (No. 12)
One atom of each set of equivalent atoms:
1 Ac 0.0466 0.0000 0.2294  1 Pr 3.86, 9 Ac 3.90-3.95, 2 Y 3.92
2 Ac 0.0925 0.5000 0.9515  3 Pr 3.85-3.88, 8 Ac 3.87-3.97, 1 Y 3.88
3 Ac 0.1374 0.0000 0.6865  3 Pr 3.84-3.91, 7 Ac 3.87-3.92, 2 Y 3.93
4 Ac 0.1813 0.5000 0.4136  1 Y 3.86, 3 Pr 3.89-3.96, 8 Ac 3.90-3.95
5 Pr 0.2263 0.0000 0.1340  10 Ac 3.84-3.96, 2 Pr 3.91
6 Y 0.0000 0.5000 0.5000  12 Ac 3.86-3.93

=====

- The lowest raw total energy belongs to which entry?
  Ac2Pr2Y5

=====

- Which of these has the lowest ΔH_f (0 K)?
  Ac6Pr5Y

=====

Please write out number 7 again, unchanged.
First-principles (PBE-GGA) data for an optimized crystal structure of Ac2Pr2Y5, as listed in Alexandria.

## Properties
Raw total energy (eV per atom): -5.345
ΔH_f (0 K) (meV per atom): 221

a = 22.3706 Å, b = 3.6482 Å, c = 8.4252 Å
α = 90.00°, β = 98.68°, γ = 90.00°
With the nearest neighbours (Å) after each atom.
Space group C2/m (No. 12)
One atom of each set of equivalent atoms:
1 Ac 0.1824 0.0000 0.1353  2 Ac 3.65, 5 Y 3.69-4.07
2 Pr 0.0482 0.5000 0.3512  7 Y 3.31-3.65, 3 Pr 3.55-3.65
3 Y 0.0000 0.0000 0.0000  4 Y 3.35-3.65, 4 Pr 3.50
4 Y 0.0935 0.0000 0.7245  5 Y 3.35-3.65, 4 Pr 3.63-3.65, 1 Ac 3.72
5 Y 0.1902 0.5000 0.5306  1 Pr 3.31, 6 Y 3.34-3.65, 1 Ac 3.69

=====

- raw total energy of number 11 (Ac2Pr3Y)?
  -4.746 eV per atom